Model w:
Li3CdSn: relaxed, GGA-PBE.

Cell: 4.7627 6.1289 7.1015 Å, 90.00 109.51 90.00°
Last column: nearest neighbours and their distance in Å.
Space group P2_1/m (No. 11)
One atom of each set of equivalent atoms:
Li1 0.0062 0.2500 0.0101 (multiplicity 2)  2 Sn 2.81, 2 Cd 2.84-2.85, 6 Li 2.94-3.10
Li2 0.1941 0.0073 0.3893 (multiplicity 4)  5 Li 2.80-3.10, 3 Sn 2.98-3.00, 3 Cd 2.99-3.07
Cd1 0.3893 0.2500 0.7768 (multiplicity 2)  8 Li 2.84-3.07, 3 Sn 3.05-3.07
Sn1 0.3830 0.7500 0.7679 (multiplicity 2)  8 Li 2.81-3.00, 3 Cd 3.05-3.07

Model x:
Li3CdSn: relaxed, GGA-PBE.

Cell: 4.6235 5.8017 7.6691 Å, 71.59 72.60 89.98°
Last column: nearest neighbours and their distance in Å.
Space group P-1 (No. 2)
One atom of each set of equivalent atoms:
Li1 0.0000 0.0000 0.0000 (multiplicity 1)  8 Li 2.87-2.96, 4 Sn 3.19-3.20
Li2 0.0000 0.5000 0.0000 (multiplicity 1)  2 Cd 2.85, 2 Li 2.90, 4 Sn 2.97
Li3 0.2012 0.2856 0.5970 (multiplicity 2)  4 Cd 2.82-2.90, 1 Li 2.87, 3 Sn 2.87-2.89
Li4 0.3987 0.1198 0.2034 (multiplicity 2)  3 Sn 2.86-2.92, 3 Cd 2.87-2.91, 4 Li 2.95-3.20
Cd1 0.1999 0.7847 0.5999 (multiplicity 2)  8 Li 2.82-2.91
Sn1 0.3981 0.6228 0.2050 (multiplicity 2)  10 Li 2.86-3.20

Which of them is most stable, and which least? Most stable: model x; least stable: model w.

Model w:
Li4Cd2Sn3: relaxed, GGA-PBE.

Cell: 13.3221 4.3111 6.9176 Å, 90.00 108.55 90.00°
Last column: nearest neighbours and their distance in Å.
Space group C2/m (No. 12)
One atom of each set of equivalent atoms:
Li1 0.0467 0.0000 0.3230 (multiplicity 4)  2 Cd 3.00-3.11, 6 Sn 3.02-3.14, 4 Li 3.08-3.30
Li2 0.2194 0.5000 0.3219 (multiplicity 4)  4 Sn 2.97-3.06, 3 Cd 3.00-3.10, 5 Li 3.15-3.30
Cd1 0.1656 0.0000 0.0029 (multiplicity 4)  5 Li 3.00-3.11, 5 Sn 3.08-3.17, 2 Cd 3.12
Sn1 0.0000 0.5000 0.0000 (multiplicity 2)  6 Li 3.02-3.06, 4 Cd 3.08, 2 Sn 3.30
Sn2 0.1200 0.5000 0.6500 (multiplicity 4)  7 Li 2.97-3.14, 3 Cd 3.09-3.17, 2 Sn 3.21-3.30

Model x:
Li4Cd2Sn3: relaxed, GGA-PBE.

Cell: 4.3525 5.3695 9.1013 Å, 104.96 90.25 112.57°
Last column: nearest neighbours and their distance in Å.
Space group P-1 (No. 2)
One atom of each set of equivalent atoms:
Li1 0.0021 0.4972 0.1759 (multiplicity 2)  6 Sn 2.95-3.22, 3 Cd 3.02-3.18, 3 Li 3.09-3.21
Li2 0.3258 0.1589 0.6066 (multiplicity 2)  4 Cd 2.94-3.21, 4 Sn 3.00-3.14, 4 Li 3.04-3.13
Cd1 0.3361 0.1660 0.2844 (multiplicity 2)  7 Li 2.94-3.21, 5 Sn 3.07-3.16
Sn1 0.0000 0.5000 0.5000 (multiplicity 1)  8 Li 2.95-3.14, 4 Cd 3.07-3.09
Sn2 0.3333 0.1782 0.9396 (multiplicity 2)  6 Li 3.00-3.22, 3 Sn 3.07-3.19, 3 Cd 3.12-3.16

Which of them is most stable, and which least? Most stable: model x; least stable: model w.

Model w:
Li5CdSn: relaxed, GGA-PBE.

Cell: 6.5478 7.8793 10.4534 Å, 90.00 106.18 90.00°
Last column: nearest neighbours and their distance in Å.
Space group C2/c (No. 15)
One atom of each set of equivalent atoms:
Li1 0.0000 0.1653 0.2500 (multiplicity 4)  6 Li 2.72-2.89, 2 Cd 2.75, 1 Sn 2.84
Li2 0.1120 0.4837 0.1499 (multiplicity 8)  2 Sn 2.84-2.91, 6 Li 2.85-3.08, 2 Cd 2.91-3.06
Li3 0.1810 0.1034 0.0499 (multiplicity 8)  5 Li 2.72-2.88, 2 Cd 2.89-2.96, 1 Sn 2.97
Cd1 0.2500 0.2500 0.5000 (multiplicity 4)  10 Li 2.75-3.06
Sn1 0.0000 0.1948 0.7500 (multiplicity 4)  9 Li 2.84-3.11

Model x:
Li5CdSn: relaxed, GGA-PBE.

Cell: 6.3648 6.3735 7.0430 Å, 90.00 90.00 90.00°
Last column: nearest neighbours and their distance in Å.
Space group Cmmm (No. 65)
One atom of each set of equivalent atoms:
Li1 0.0000 0.0000 0.0000 (multiplicity 2)  8 Li 2.85, 4 Sn 3.18-3.19
Li2 0.2500 0.2500 0.2472 (multiplicity 8)  2 Sn 2.85, 6 Li 2.85-3.19, 2 Cd 2.87
Cd1 0.0000 0.0000 0.5000 (multiplicity 2)  8 Li 2.87
Sn1 0.0000 0.5000 0.0000 (multiplicity 2)  12 Li 2.85-3.19

Which of them is most stable, and which least? Most stable: model w; least stable: model x.

Model w:
Li8CdSn2: relaxed, GGA-PBE.

Cell: 4.8017 6.1428 7.9862 Å, 111.67 106.69 90.80°
Last column: nearest neighbours and their distance in Å.
Space group P-1 (No. 2)
One atom of each set of equivalent atoms:
Li1 0.1230 0.4111 0.2794 (multiplicity 2)  5 Li 2.67-2.99, 2 Sn 2.87-2.93
Li2 0.1650 0.8764 0.2815 (multiplicity 2)  5 Li 2.69-3.00, 2 Sn 2.86-2.91
Li3 0.2736 0.0868 0.0000 (multiplicity 2)  3 Li 2.43-2.69
Li4 0.2961 0.2976 0.5952 (multiplicity 2)  6 Li 2.76-3.00, 1 Cd 2.85, 3 Sn 2.92-3.08
Cd1 0.5000 0.5000 0.0000 (multiplicity 1)  4 Li 2.75-2.85
Sn1 0.3183 0.8192 0.6418 (multiplicity 2)  12 Li 2.80-3.10

Model x:
Li8CdSn2: relaxed, GGA-PBE.

Cell: 4.7551 6.3751 14.0657 Å, 90.00 90.00 90.00°
Last column: nearest neighbours and their distance in Å.
Space group Immm (No. 71)
One atom of each set of equivalent atoms:
Li1 0.0000 0.0000 0.1733 (multiplicity 4)  8 Li 2.77-3.02
Li2 0.0000 0.2311 0.3400 (multiplicity 8)  4 Li 2.77-2.95, 3 Sn 2.81-2.84, 1 Cd 2.83
Li3 0.0000 0.2786 0.0000 (multiplicity 4)  3 Li 2.82-3.02, 2 Sn 2.89, 2 Cd 2.97
Cd1 0.0000 0.5000 0.5000 (multiplicity 2)  8 Li 2.83-2.97
Sn1 0.0000 0.5000 0.1791 (multiplicity 4)  8 Li 2.81-2.89

Which of them is most stable, and which least? Most stable: model x; least stable: model w.

Model w:
Li2Cd3Sn2: relaxed, GGA-PBE.

Cell: 9.8536 4.3840 7.1920 Å, 90.00 96.78 90.00°
Last column: nearest neighbours and their distance in Å.
Space group C2/m (No. 12)
One atom of each set of equivalent atoms:
Li1 0.0713 0.0000 0.2219 (multiplicity 4)  6 Cd 3.10-3.14, 5 Sn 3.12-3.19, 1 Li 3.33
Cd1 0.0000 0.5000 0.5000 (multiplicity 2)  6 Cd 3.09-3.11, 4 Li 3.10, 2 Sn 3.21
Cd2 0.2130 0.0000 0.6340 (multiplicity 4)  5 Cd 3.06-3.11, 4 Li 3.10-3.14, 3 Sn 3.17-3.32
Sn1 0.1405 0.5000 0.9258 (multiplicity 4)  3 Sn 3.08-3.17, 5 Li 3.12-3.19, 4 Cd 3.17-3.32

Model x:
Li2Cd3Sn2: relaxed, GGA-PBE.

Cell: 4.4015 5.2137 7.4033 Å, 94.87 92.32 114.05°
Last column: nearest neighbours and their distance in Å.
Space group P-1 (No. 2)
One atom of each set of equivalent atoms:
Li1 0.2170 0.4243 0.1468 (multiplicity 2)  4 Sn 2.97-3.11, 6 Cd 3.05-3.31, 2 Li 3.19-3.27
Cd1 0.3607 0.7169 0.5746 (multiplicity 2)  4 Cd 3.02-3.28, 4 Sn 3.05-3.27, 3 Li 3.05-3.31
Cd2 0.5000 0.0000 0.0000 (multiplicity 1)  4 Sn 3.05-3.08, 6 Li 3.06-3.11, 2 Cd 3.28
Sn1 0.0659 0.1620 0.7431 (multiplicity 2)  4 Li 2.97-3.11, 6 Cd 3.05-3.27

Which of them is most stable, and which least? Most stable: model w; least stable: model x.

Model w:
Li3Cd4Sn4: relaxed, GGA-PBE.

Cell: 3.1855 4.7506 34.5906 Å, 90.00 90.00 90.00°
Last column: nearest neighbours and their distance in Å.
Space group Immm (No. 71)
One atom of each set of equivalent atoms:
Li1 0.0000 0.0000 0.0000 (multiplicity 2)  8 Cd 3.18, 2 Li 3.19, 4 Sn 3.39
Li2 0.0000 0.5000 0.1250 (multiplicity 4)  4 Sn 3.15, 2 Li 3.19, 6 Cd 3.26-3.34
Cd1 0.0000 0.0000 0.4599 (multiplicity 4)  1 Cd 2.77, 2 Sn 2.87
Cd2 0.0000 0.5000 0.3294 (multiplicity 4)  3 Sn 2.91-2.97, 2 Cd 3.19
Sn1 0.0000 0.0000 0.2778 (multiplicity 4)  2 Cd 2.97, 2 Sn 3.19
Sn2 0.0000 0.5000 0.4134 (multiplicity 4)  3 Cd 2.87-2.91, 4 Li 3.15, 2 Sn 3.19

Model x:
Li3Cd4Sn4: relaxed, GGA-PBE.

Cell: 3.5354 4.9834 14.9219 Å, 98.92 94.14 90.11°
Last column: nearest neighbours and their distance in Å.
Space group P-1 (No. 2)
One atom of each set of equivalent atoms:
Li1 0.0000 0.0000 0.0000 (multiplicity 1)  2 Cd 3.02, 4 Sn 3.13-3.17
Li2 0.3109 0.3529 0.7013 (multiplicity 2)  4 Cd 3.02-3.05, 5 Sn 3.09-3.18
Cd1 0.2339 0.7319 0.4670 (multiplicity 2)  4 Sn 3.00-3.22, 2 Li 3.03-3.05, 4 Cd 3.16-3.25
Cd2 0.3407 0.9089 0.8183 (multiplicity 2)  4 Sn 2.91-3.09, 3 Li 3.02-3.03
Sn1 0.1993 0.1741 0.3517 (multiplicity 2)  6 Cd 3.00-3.22, 4 Li 3.13-3.18
Sn2 0.4027 0.5505 0.0956 (multiplicity 2)  2 Cd 2.91, 1 Sn 2.95, 3 Li 3.09-3.17

Which of them is most stable, and which least? Most stable: model x; least stable: model w.

Model w:
LiCd6Sn2: relaxed, GGA-PBE.

Cell: 8.0347 15.0483 3.5720 Å, 90.00 102.59 90.00°
Last column: nearest neighbours and their distance in Å.
Space group C2/m (No. 12)
One atom of each set of equivalent atoms:
Li1 0.0000 0.0000 0.0000 (multiplicity 2)  4 Sn 2.98, 4 Cd 3.08-3.12
Cd1 0.1624 0.3368 0.8282 (multiplicity 8)  5 Cd 3.03-3.12, 3 Sn 3.10-3.21
Cd2 0.1767 0.5000 0.3320 (multiplicity 4)  6 Cd 3.03-3.32, 2 Li 3.08-3.12
Sn1 0.0000 0.1582 0.5000 (multiplicity 4)  2 Li 2.98, 6 Cd 3.10-3.21

Model x:
LiCd6Sn2: relaxed, GGA-PBE.

Cell: 13.6450 4.4857 7.1557 Å, 90.00 109.09 90.00°
Last column: nearest neighbours and their distance in Å.
Space group C2/m (No. 12)
One atom of each set of equivalent atoms:
Li1 0.0000 0.0000 0.0000 (multiplicity 2)  4 Sn 3.13, 8 Cd 3.17-3.20
Cd1 0.1122 0.0000 0.6737 (multiplicity 4)  7 Cd 3.14-3.29, 1 Li 3.18, 4 Sn 3.22-3.27
Cd2 0.1677 0.5000 0.0011 (multiplicity 4)  8 Cd 3.14-3.18, 2 Sn 3.14-3.18, 2 Li 3.20
Cd3 0.2223 0.0000 0.3279 (multiplicity 4)  8 Cd 3.15-3.29, 1 Li 3.17, 3 Sn 3.18-3.23
Sn1 0.0565 0.5000 0.3224 (multiplicity 4)  2 Li 3.13, 9 Cd 3.14-3.27, 1 Sn 3.38

Which of them is most stable, and which least? Most stable: model x; least stable: model w.

Model w:
Li2Cd3Sn: relaxed, GGA-PBE.

Cell: 8.7922 10.1268 5.9709 Å, 90.00 90.00 90.00°
Last column: nearest neighbours and their distance in Å.
Space group Cmcm (No. 63)
One atom of each set of equivalent atoms:
Li1 0.1888 0.0000 0.0000 (multiplicity 8)  2 Sn 2.94, 2 Li 2.99, 6 Cd 3.07-3.13
Cd1 0.0000 0.4725 0.2500 (multiplicity 4)  1 Sn 2.88, 4 Cd 3.04, 4 Li 3.13
Cd2 0.1651 0.2640 0.7500 (multiplicity 8)  2 Cd 2.90-3.04, 1 Sn 2.98, 4 Li 3.07-3.10
Sn1 0.0000 0.1886 0.2500 (multiplicity 4)  3 Cd 2.88-2.98, 4 Li 2.94

Model x:
Li2Cd3Sn: relaxed, GGA-PBE.

Cell: 12.9232 4.4724 9.5394 Å, 90.00 114.64 90.00°
Last column: nearest neighbours and their distance in Å.
Space group C2/m (No. 12)
One atom of each set of equivalent atoms:
Li1 0.0302 0.0000 0.3705 (multiplicity 4)  2 Li 2.88-3.20, 4 Cd 2.95-3.01, 4 Sn 3.07-3.10
Li2 0.2138 0.5000 0.3710 (multiplicity 4)  4 Cd 2.91-3.06, 3 Sn 2.91-2.97, 3 Li 3.16-3.20
Cd1 0.0360 0.5000 0.8623 (multiplicity 4)  3 Li 3.01-3.06, 8 Cd 3.03-3.25, 1 Sn 3.11
Cd2 0.1207 0.0000 0.1337 (multiplicity 4)  3 Li 2.95-3.05, 8 Cd 3.03-3.25, 1 Sn 3.13
Cd3 0.2073 0.0000 0.8733 (multiplicity 4)  2 Li 2.91-2.98, 8 Cd 3.12-3.22, 2 Sn 3.19
Sn1 0.1297 0.5000 0.6105 (multiplicity 4)  7 Li 2.91-3.10, 4 Cd 3.11-3.19, 1 Sn 3.13

Which of them is most stable, and which least? Most stable: model x; least stable: model w.

Model w:
LiYCdSn: relaxed, GGA-PBE.

Cell: 7.2308 7.2308 7.2308 Å, 90.00 90.00 90.00°
Last column: nearest neighbours and their distance in Å.
Space group F-43m (No. 216)
One atom of each set of equivalent atoms:
Li1 0.0000 0.0000 0.0000 (multiplicity 4)  4 Cd 3.13, 4 Sn 3.13
Y1 0.0000 0.0000 0.5000 (multiplicity 4)  4 Sn 3.13, 4 Cd 3.13
Cd1 0.2500 0.2500 0.2500 (multiplicity 4)  4 Y 3.13, 4 Li 3.13
Sn1 0.2500 0.2500 0.7500 (multiplicity 4)  4 Li 3.13, 4 Y 3.13

Model x:
LiYCdSn: relaxed, GGA-PBE.

Cell: 4.2612 4.5526 4.8535 Å, 90.00 90.00 90.00°
Last column: nearest neighbours and their distance in Å.
Space group Pmmm (No. 47)
One atom of each set of equivalent atoms:
Li1 0.0000 0.0000 0.0000 (multiplicity 1)  4 Cd 3.12, 4 Sn 3.23, 4 Y 3.33
Y1 0.0000 0.5000 0.5000 (multiplicity 1)  4 Sn 3.12, 4 Cd 3.23, 4 Li 3.33
Cd1 0.5000 0.5000 0.0000 (multiplicity 1)  4 Li 3.12, 4 Y 3.23, 4 Sn 3.33
Sn1 0.5000 0.0000 0.5000 (multiplicity 1)  4 Y 3.12, 4 Li 3.23, 4 Cd 3.33

Which of them is most stable, and which least? Most stable: model x; least stable: model w.

Model w:
SrLi3Cd2: relaxed, GGA-PBE.

Cell: 10.4292 10.4292 4.7885 Å, 90.00 90.00 120.00°
Last column: nearest neighbours and their distance in Å.
Space group P6/mmm (No. 191)
One atom of each set of equivalent atoms:
Sr1 0.0000 0.0000 0.0000 (multiplicity 1)  6 Cd 3.38
Sr2 0.3333 0.6667 0.5000 (multiplicity 2)  6 Cd 3.57, 12 Li 3.69-3.85
Li1 0.0000 0.2962 0.5000 (multiplicity 6)  4 Cd 2.93, 4 Li 3.09-3.20
Li2 0.0000 0.5000 0.0000 (multiplicity 3)  4 Cd 2.84
Cd1 0.1870 0.3740 0.0000 (multiplicity 6)  6 Li 2.84-2.93

Model x:
SrLi3Cd2: relaxed, GGA-PBE.

Cell: 4.8723 4.8723 14.5769 Å, 90.00 90.00 120.00°
Last column: nearest neighbours and their distance in Å.
Space group P6_3/mmc (No. 194)
One atom of each set of equivalent atoms:
Sr1 0.0000 0.0000 0.2500 (multiplicity 2)  6 Cd 3.52, 8 Li 3.64-3.70
Li1 0.0000 0.0000 0.0000 (multiplicity 2)  6 Li 3.07, 6 Cd 3.20
Li2 0.3333 0.6667 0.0847 (multiplicity 4)  4 Cd 2.76-2.83, 3 Li 3.07
Cd1 0.3333 0.6667 0.6050 (multiplicity 4)  4 Li 2.76-2.83

Which of them is most stable, and which least? Most stable: model w; least stable: model x.

Model w:
Sr4LiCd2: relaxed, GGA-PBE.

Cell: 5.7808 5.7808 28.0021 Å, 90.00 90.00 120.00°
Last column: nearest neighbours and their distance in Å.
Space group R-3m (No. 166, hexagonal axes)
One atom of each set of equivalent atoms:
Sr1 0.0000 0.0000 0.1222 (multiplicity 6)  4 Cd 3.48, 3 Li 3.56
Sr2 0.0000 0.0000 0.3731 (multiplicity 6)  4 Cd 3.55-3.59, 1 Li 3.55
Li1 0.0000 0.0000 0.5000 (multiplicity 3)  8 Sr 3.55-3.56
Cd1 0.0000 0.0000 0.2464 (multiplicity 6)  8 Sr 3.48-3.59

Model x:
Sr4LiCd2: relaxed, GGA-PBE.

Cell: 5.7357 5.7357 29.7263 Å, 90.00 90.00 120.00°
Last column: nearest neighbours and their distance in Å.
Space group R-3m (No. 166, hexagonal axes)
One atom of each set of equivalent atoms:
Sr1 0.0000 0.0000 0.1221 (multiplicity 6)  3 Li 3.57, 3 Cd 3.58
Sr2 0.0000 0.0000 0.2918 (multiplicity 6)  4 Cd 3.47-3.51
Li1 0.0000 0.0000 0.5000 (multiplicity 3)  2 Cd 2.68
Cd1 0.0000 0.0000 0.4098 (multiplicity 6)  1 Li 2.68

Which of them is most stable, and which least? Most stable: model w; least stable: model x.